DyCd8Cu4 | PBE | optimized geometry

Unit cell a=9.6016 b=9.6016 c=5.3631 alpha=90.00 beta=90.00 gamma=90.00
Space group I4/mmm (No. 139)
Symmetry-distinct sites (fractional):
Dy 0.0000 0.0000 0.0000
Cd 0.0000 0.2150 0.5000
Cd 0.0000 0.3395 0.0000
Cu 0.2500 0.2500 0.2500

Output
Raw total energy in eV per atom: -2.259
DFT formation energy in eV/atom: -0.081